No. 1
# La6Tb2Sc PBE-GGA optimized geometry
data_La6Tb2Sc
_chemical_formula_sum 'La12 Tb4 Sc2'
_symmetry_space_group_name_H-M 'C 1 2/m 1'
_symmetry_Int_Tables_number 12
_cell_length_a 11.407
_cell_length_b 5.176
_cell_length_c 10.945
_cell_angle_alpha 90.00
_cell_angle_beta 107.44
_cell_angle_gamma 90.00
loop_
_symmetry_equiv_pos_as_xyz
'x,y,z'
'-x,-y,-z'
'-x,y,-z'
'x,-y,z'
'x+1/2,y+1/2,z'
'-x+1/2,-y+1/2,-z'
'-x+1/2,y+1/2,-z'
'x+1/2,-y+1/2,z'
loop_
_atom_site_label
_atom_site_fract_x
_atom_site_fract_y
_atom_site_fract_z
La1 0.004 0.000 0.174
La2 0.164 0.500 0.052
La3 0.168 0.500 0.393
Tb1 0.162 0.500 0.716
Sc1 0.000 0.000 0.500
# M_tot ... 0.0000 μB per atom
# Energy of formation ... 41.6 meV/atom


No. 2
# Cd5GaPd6 PBE-GGA optimized geometry
data_Cd5GaPd6
_chemical_formula_sum 'Cd10 Ga2 Pd12'
_symmetry_space_group_name_H-M 'C m m m'
_symmetry_Int_Tables_number 65
_symmetry_space_group_name_Hall '-C 2 2'
_cell_length_a 4.621
_cell_length_b 13.919
_cell_length_c 6.392
_cell_angle_alpha 90.00
_cell_angle_beta 90.00
_cell_angle_gamma 90.00
loop_
_atom_site_label
_atom_site_fract_x
_atom_site_fract_y
_atom_site_fract_z
Cd1 0.000 0.000 0.000
Cd2 0.000 0.327 0.500
Cd3 0.000 0.330 0.000
Ga1 0.000 0.000 0.500
Pd1 0.000 0.156 0.259
Pd2 0.000 0.500 0.269
# M_tot ... 0.0000 μB per atom
# Energy of formation ... -430.4 meV/atom


No. 3
# BaDyAs2O8 PBE-GGA optimized geometry
data_BaDyAs2O8
_chemical_formula_sum 'Ba1 Dy1 As2 O8'
_symmetry_space_group_name_H-M 'P -3'
_symmetry_Int_Tables_number 147
_cell_length_a 5.7055
_cell_length_b 5.7055
_cell_length_c 7.7537
_cell_angle_alpha 90.00
_cell_angle_beta 90.00
_cell_angle_gamma 120.00
loop_
_symmetry_equiv_pos_as_xyz
'x,y,z'
'-x,-y,-z'
'-y,x-y,z'
'y,-x+y,-z'
'-x+y,-x,z'
'x-y,x,-z'
loop_
_atom_site_label
_atom_site_fract_x
_atom_site_fract_y
_atom_site_fract_z
Ba1 0.0000 0.0000 0.0000
Dy1 0.0000 0.0000 0.5000
As1 0.3333 0.6667 0.7613
O1 0.1675 0.3374 0.6932
O2 0.3333 0.6667 0.9836
# M_tot ... 0.0846 μB per atom
# Formation energy without anion corrections ... -2.005 eV/atom


No. 4
# InSnCl3 PBE-GGA optimized geometry
data_InSnCl3
_chemical_formula_sum 'In1 Sn1 Cl3'
_symmetry_space_group_name_H-M 'P 4 m m'
_symmetry_Int_Tables_number 99
_cell_length_a 4.677
_cell_length_b 4.677
_cell_length_c 7.919
_cell_angle_alpha 90.00
_cell_angle_beta 90.00
_cell_angle_gamma 90.00
loop_
_symmetry_equiv_pos_as_xyz
'x,y,z'
'-y,x,z'
'-x,-y,z'
'y,-x,z'
'-x,y,z'
'y,x,z'
'x,-y,z'
'-y,-x,z'
loop_
_atom_site_label
_atom_site_fract_x
_atom_site_fract_y
_atom_site_fract_z
In1 0.000 0.000 0.000
Sn1 0.500 0.500 0.456
Cl1 0.000 0.000 0.622
Cl2 0.000 0.500 0.261
# M_tot ... 0.0000 μB per atom
# Formation energy without anion corrections ... -0.775 eV/atom


Calculated density of states at the Fermi level in order - 33.17; 10.81; 9.36; 0.00 states/eV per cell